(1)
The following is a PBE calculation of Ac6CoRh2Au after structural relaxation, from Alexandria.

Lattice parameters (Å, degrees): 7.5044 7.5023 8.2149 62.82 62.86 60.12
With the nearest neighbours (Å) after each atom.
Element x y z (fractional)
Ac 0.9238 0.5774 0.2404  1 Co 2.94, 2 Rh 3.03, 1 Au 3.20
Ac 0.3938 0.7358 0.7600  1 Co 2.92, 2 Rh 3.02-3.03, 1 Au 3.19
Co 0.3301 0.3308 0.0090  6 Ac 2.92-2.94
Ac 0.2590 0.9230 0.2397  1 Co 2.94, 2 Rh 3.03, 1 Au 3.19
Rh 0.5047 0.5050 0.4852  6 Ac 3.03
Au 0.8290 0.8285 0.5148  6 Ac 3.19-3.20, 1 Rh 3.55
Ac 0.5790 0.2579 0.2400  1 Co 2.94, 2 Rh 3.03, 1 Au 3.19
Rh 0.9981 0.9979 0.0055  6 Ac 3.01-3.03
Ac 0.7339 0.1111 0.7604  1 Co 2.92, 2 Rh 3.02-3.03, 1 Au 3.19
Ac 0.1101 0.3943 0.7602  1 Co 2.92, 2 Rh 3.01-3.03, 1 Au 3.19

Results
The formation energy comes out at -0.4510 eV per atom. The density of states at the Fermi level is 7.6 states/eV/cell. As for the space-group type: No. 1. For the calculated volume, the calculation gives 34.07 A^3/atom.


(2)
The following is a PBE calculation of Ac6CoRhAu2 after structural relaxation, from Alexandria.

Lattice parameters (Å, degrees): 7.7874 7.7855 8.1170 61.34 61.34 59.99
With the nearest neighbours (Å) after each atom.
Element x y z (fractional)
Au 0.5214 0.5215 0.4357  6 Ac 3.21-3.24
Rh 0.8227 0.8229 0.5316  6 Ac 2.97-3.02
Co 0.3236 0.3234 0.0294  6 Ac 2.90-2.95
Ac 0.4530 0.6899 0.7660  1 Co 2.95, 1 Rh 2.97, 2 Au 3.19-3.24
Ac 0.5831 0.1955 0.2606  1 Co 2.90, 1 Rh 3.02, 2 Au 3.21-3.24
Ac 0.6898 0.0915 0.7657  1 Co 2.95, 1 Rh 2.97, 2 Au 3.19-3.24
Ac 0.0914 0.4529 0.7658  1 Co 2.95, 1 Rh 2.97, 2 Au 3.19-3.24
Au 0.0203 0.0203 0.9388  6 Ac 3.19-3.25
Ac 0.1954 0.9609 0.2609  1 Co 2.90, 1 Rh 3.02, 2 Au 3.21-3.25
Ac 0.9609 0.5829 0.2607  1 Co 2.90, 1 Rh 3.02, 2 Au 3.21-3.24

Results
The formation energy comes out at -0.4491 eV per atom. The density of states at the Fermi level is 9.5 states/eV/cell. As for the space-group type: No. 146. For the calculated volume, the calculation gives 35.48 A^3/atom.


> Which formula does entry 2 have?

Ac6CoRhAu2